Compound: ZrMnPd2N
Source: Alexandria
Functional: PBE
Structure: relaxed

Summary:
- E_tot: -36.92 eV/cell
- Raw formation energy: -0.097 eV/atom
- Symmetry: No. 123
- Crystal system: tetragonal

a b c (Å): 4.3493 4.3493 3.8680
angles (deg): 90.00 90.00 90.00
Element x y z (fractional)
Zr 0.0000 0.0000 0.0000
Mn 0.5000 0.5000 0.0000
Pd 0.0000 0.5000 0.5000
Pd 0.5000 0.0000 0.5000
N 0.5000 0.5000 0.5000